(1)
Compound: LaPrPtSe
Source: Alexandria via LeMat-Bulk
Functional: PBE
Structure: optimized geometry

## Properties
Calculated volume = 113.1 Å³/f.u.
E_form (uncorrected) = -1.49 eV/atom
N(E_F) = 2.5 states/eV/f.u.

POSCAR file:
```
LaPrPtSe
1.0
4.200 0.000 0.000
2.100 3.637 0.000
2.100 1.212 7.405
Pr Pt La Se
1 1 1 1
direct
0.506 0.506 0.482
0.250 0.250 0.250
0.994 0.994 0.019
0.750 0.750 0.749
```


(2)
Compound: ErZnAg4
Source: Alexandria via LeMat-Bulk
Functional: PBE
Structure: optimized geometry

## Properties
Energy relative to the lowest polymorph listed for this composition = 15.2 meV per atom
Calculated volume = 118.5 Å³/f.u.
Formation energy = -89 meV per atom
N(E_F) = 7.0 states/eV/f.u.

POSCAR file:
```
ErZnAg4
1.0
5.514 0.000 0.000
2.757 4.775 0.000
2.757 1.592 4.502
Zn Ag Er
1 4 1
direct
0.000 0.000 0.000
0.625 0.124 0.625
0.625 0.625 0.625
0.124 0.625 0.625
0.625 0.625 0.124
0.250 0.250 0.250
```


(3)
Compound: ZrSc2Se
Source: Alexandria via LeMat-Bulk
Functional: PBE
Structure: optimized geometry

## Properties
Calculated volume = 85.4 Å³/f.u.
E_form (uncorrected) = -0.54 eV/atom
N(E_F) = 4.6 states/eV/f.u.

POSCAR file:
```
ZrSc2Se
1.0
-0.886 3.213 -1.047
-3.274 -1.084 -0.555
-1.673 1.683 6.581
Sc Zr Se
2 1 1
direct
0.500 0.500 0.280
0.000 0.000 0.999
0.500 0.500 0.720
0.000 0.000 0.500
```


(4)
Compound: ZrSbI2Br
Source: Alexandria via LeMat-Bulk
Functional: PBE
Structure: optimized geometry

## Properties
Energy relative to the lowest polymorph listed for this composition = 559.8 meV per atom
Calculated volume = 199.5 Å³/f.u.
E_form (uncorrected) = 0.35 eV/atom
N(E_F) = 4.3 states/eV/f.u.

POSCAR file:
```
ZrSbI2Br
1.0
-5.404 -0.845 2.150
-0.852 -4.254 -3.812
2.142 -3.884 3.856
I Sb Br Zr
2 1 1 1
direct
0.500 0.000 0.000
0.000 0.000 0.500
0.000 0.000 0.000
0.500 0.500 0.500
0.000 0.500 0.000
```


(5)
Compound: SrZnSi2
Source: Alexandria via LeMat-Bulk
Functional: PBE
Structure: optimized geometry

## Properties
Calculated volume = 89.6 Å³/f.u.
E_form (uncorrected) = -0.12 eV/atom
N(E_F) = 1.5 states/eV/f.u.

POSCAR file:
```
SrZnSi2
1.0
3.776 0.000 0.000
0.000 3.972 -0.500
0.000 0.742 5.879
Si Zn Sr
2 1 1
direct
0.000 0.125 0.916
0.500 0.125 0.190
0.500 0.625 0.934
0.000 0.625 0.460
```


(6)
Compound: PmSmTm2Sc
Source: Alexandria via LeMat-Bulk
Functional: PBE
Structure: optimized geometry

## Properties
Calculated volume = 162.6 Å³/f.u.
Formation energy = 320 meV per atom
N(E_F) = 5.8 states/eV/f.u.

POSCAR file:
```
PmSmTm2Sc
1.0
-5.573 -4.333 0.513
4.859 -6.419 -1.438
-1.505 2.674 6.234
Pm Sc Tm Sm
2 2 4 2
direct
0.250 0.731 0.462
0.750 0.269 0.538
0.750 0.001 0.002
0.250 0.999 0.998
0.000 0.304 0.000
0.500 0.696 0.000
0.000 0.696 0.000
0.500 0.304 0.000
0.750 0.732 0.464
0.250 0.268 0.536
```


(7)
Compound: In4Ag
Source: Alexandria via LeMat-Bulk
Functional: PBE
Structure: optimized geometry

## Properties
Energy relative to the lowest polymorph listed for this composition = 194.6 meV per atom
Calculated volume = 155.1 Å³/f.u.
Formation energy = 236 meV per atom
N(E_F) = 2.8 states/eV/f.u.

POSCAR file:
```
In4Ag
1.0
-1.618 4.525 2.403
2.076 -1.724 4.646
4.684 2.327 -1.230
In Ag
4 1
direct
0.500 0.500 0.000
0.000 0.500 0.500
0.000 0.000 0.000
0.500 0.000 0.500
0.500 0.500 0.500
```


(8)
Compound: Ta5Mo3
Source: Alexandria via LeMat-Bulk
Functional: PBE
Structure: optimized geometry

## Properties
Energy relative to the lowest polymorph listed for this composition = 53.8 meV per atom
Calculated volume = 137.6 Å³/f.u.
Formation energy = -119 meV per atom
N(E_F) = 7.4 states/eV/f.u.

POSCAR file:
```
Ta5Mo3
1.0
-3.898 4.500 -4.248
-7.283 0.522 -0.415
5.617 -0.275 4.675
Ta Mo
5 3
direct
0.622 0.122 0.500
0.752 0.752 0.000
0.881 0.381 0.500
0.119 0.619 0.500
0.252 0.252 0.000
0.377 0.877 0.500
0.498 0.498 0.000
0.998 0.998 0.000
```


(9)
Compound: Y4PaAs5
Source: Alexandria via LeMat-Bulk
Functional: PBE
Structure: optimized geometry

## Properties
Calculated volume = 246.2 Å³/f.u.
Formation energy = -1464 meV per atom
N(E_F) = 5.4 states/eV/f.u.

POSCAR file:
```
Y4PaAs5
1.0
-1.098 5.106 2.573
-6.785 2.116 -0.507
-1.929 -0.542 6.838
As Y Pa
5 4 1
direct
0.501 0.000 0.000
0.296 0.803 0.606
0.099 0.606 0.197
0.706 0.197 0.394
0.903 0.394 0.803
0.803 0.797 0.599
0.600 0.599 0.203
0.402 0.401 0.797
0.199 0.203 0.401
0.001 0.000 0.000
```


(10)
Compound: P3IrS
Source: Alexandria via LeMat-Bulk
Functional: PBE
Structure: optimized geometry

## Properties
Energy relative to the lowest polymorph listed for this composition = 269.5 meV per atom
Calculated volume = 79.2 Å³/f.u.
E_form (uncorrected) = 1.15 eV/atom
N(E_F) = 0.6 states/eV/f.u.

POSCAR file:
```
P3IrS
1.0
-1.297 4.022 0.760
-3.589 -1.501 1.818
1.968 -0.086 3.815
S P Ir
1 3 1
direct
0.000 0.000 0.000
0.000 0.500 0.000
0.000 0.000 0.500
0.500 0.000 0.000
0.500 0.500 0.500
```


(11)
Compound: CrInPb2
Source: Alexandria via LeMat-Bulk
Functional: PBE
Structure: optimized geometry

## Properties
Calculated volume = 104.5 Å³/f.u.
Formation energy = 315 meV per atom
N(E_F) = 2.3 states/eV/f.u.

POSCAR file:
```
CrInPb2
1.0
3.455 0.000 0.000
0.000 3.455 0.000
0.000 0.000 8.749
In Pb Cr
1 2 1
direct
0.500 0.500 0.750
0.000 0.000 0.459
0.000 0.000 0.041
0.500 0.500 0.250
```


(12)
Compound: ZrBi2IrF
Source: Alexandria via LeMat-Bulk
Functional: PBE
Structure: optimized geometry

## Properties
Calculated volume = 129.1 Å³/f.u.
E_form (uncorrected) = -0.04 eV/atom
N(E_F) = 5.5 states/eV/f.u.

POSCAR file:
```
ZrBi2IrF
1.0
5.674 0.000 0.000
0.000 4.009 0.000
0.000 0.000 5.674
F Zr Bi Ir
1 1 2 1
direct
0.000 0.500 0.000
0.000 0.000 0.000
0.000 0.000 0.500
0.500 0.000 0.000
0.500 0.500 0.500
```


(13)
Compound: SrAl2F
Source: Alexandria via LeMat-Bulk
Functional: PBE
Structure: optimized geometry

## Properties
Calculated volume = 97.2 Å³/f.u.
E_form (uncorrected) = -0.11 eV/atom
N(E_F) = 4.1 states/eV/f.u.

POSCAR file:
```
SrAl2F
1.0
0.000 3.649 3.649
3.649 0.000 3.649
3.649 3.649 0.000
Al F Sr
2 1 1
direct
0.750 0.750 0.750
0.250 0.250 0.250
0.000 0.000 0.000
0.500 0.500 0.500
```